Model w:
The following is a DFT calculation (GGA-PBE) of a relaxed structure of PmMgGa.

Results
crystal system = trigonal
space group = P3m1 (156)

Cell: 3.685 4.768 4.768 Å, 120.00 90.00 90.00°
Positions (direct):
Pm 0.666 0.333 0.667
Mg 0.166 0.667 0.333
Ga 0.168 0.000 0.000


Model x:
The following is a DFT calculation (GGA-PBE) of a relaxed structure of PmMgGa.

Results
crystal system = cubic
space group = F-43m (216)

Cell: 4.830 4.830 4.830 Å, 60.00 60.00 60.00°
Positions (direct):
Ga 0.250 0.250 0.250
Mg 0.000 0.000 0.000
Pm 0.500 0.500 0.500


Model y:
The following is a DFT calculation (GGA-PBE) of a relaxed structure of PmMgGa.

Results
crystal system = orthorhombic
space group = Fddd (70)

Cell: 7.715 7.715 7.131 Å, 108.60 108.60 114.24°
Positions (direct):
Mg 0.376 0.876 0.752
Mg 0.126 0.126 0.252
Pm 0.625 0.375 0.750
Ga 0.430 0.570 0.500
Ga 0.070 0.930 0.500
Ga 0.820 0.180 0.000
Pm 0.625 0.375 0.250
Pm 0.625 0.875 0.250
Mg 0.124 0.624 0.248
Mg 0.874 0.874 0.748
Pm 0.125 0.375 0.750
Ga 0.180 0.820 0.000


Energies in meV per atom, measured from the most stable structure: model w 0; model x 21; model y 192.


Model w:
The following is a DFT calculation (GGA-PBE) of a relaxed structure of PmMgGa.

Results
crystal system = tetragonal
space group = I4mm (107)

Cell: 3.429 3.429 6.597 Å, 105.06 105.06 90.00°
Positions (direct):
Mg 0.641 0.641 0.282
Ga 0.274 0.274 0.548
Pm 0.935 0.935 0.870


Model x:
The following is a DFT calculation (GGA-PBE) of a relaxed structure of PmMgGa.

Results
crystal system = monoclinic
space group = C2/m (12)

Cell: 4.562 5.981 6.324 Å, 74.43 68.86 67.58°
Positions (direct):
Ga 0.850 0.137 0.163
Pm 0.443 0.303 0.812
Pm 0.557 0.697 0.188
Ga 0.150 0.863 0.837
Mg 0.180 0.236 0.405
Mg 0.820 0.764 0.595


Model y:
The following is a DFT calculation (GGA-PBE) of a relaxed structure of PmMgGa.

Results
crystal system = hexagonal
space group = P-62m (189)

Cell: 4.525 7.423 7.423 Å, 120.00 90.00 90.00°
Positions (direct):
Mg 0.000 0.243 0.000
Mg 0.000 0.000 0.243
Pm 0.500 0.577 0.000
Mg 0.000 0.757 0.757
Ga 0.500 0.000 0.000
Ga 0.000 0.333 0.667
Ga 0.000 0.667 0.333
Pm 0.500 0.423 0.423
Pm 0.500 0.000 0.577


Energies in meV per atom, measured from the most stable structure: model w 208; model x 87; model y 0.


Model w:
The following is a DFT calculation (GGA-PBE) of a relaxed structure of PmMg2Ga.

Results
crystal system = monoclinic
space group = Cm (8)

Cell: 5.082 5.082 5.067 Å, 89.61 120.21 120.34°
Positions (direct):
Mg 0.125 0.813 0.937
Mg 0.623 0.063 0.686
Ga 0.627 0.562 0.189
Pm 0.125 0.312 0.437


Model x:
The following is a DFT calculation (GGA-PBE) of a relaxed structure of PmMg2Ga.

Results
crystal system = cubic
space group = Fm-3m (225)

Cell: 5.045 5.045 5.045 Å, 60.00 60.00 60.00°
Positions (direct):
Mg 0.750 0.750 0.750
Ga 0.500 0.500 0.500
Mg 0.250 0.250 0.250
Pm 0.000 0.000 0.000


Energies in meV per atom, measured from the most stable structure: model w 0; model x 148.


Model w:
The following is a DFT calculation (GGA-PBE) of a relaxed structure of Pm4MgGa3.

Results
crystal system = orthorhombic
space group = Pmma (51)

Cell: 5.232 7.464 10.466 Å, 90.00 90.00 90.00°
Positions (direct):
Ga 0.497 0.000 0.250
Mg 0.000 0.500 0.000
Ga 0.000 0.000 0.000
Pm 0.500 0.757 0.000
Pm 0.500 0.243 0.000
Pm 0.500 0.243 0.500
Pm 0.500 0.757 0.500
Pm 0.998 0.243 0.250
Ga 0.503 0.000 0.750
Pm 0.998 0.757 0.250
Ga 0.503 0.500 0.750
Ga 0.000 0.000 0.500
Pm 0.002 0.757 0.750
Mg 0.000 0.500 0.500
Ga 0.497 0.500 0.250
Pm 0.002 0.243 0.750


Model x:
The following is a DFT calculation (GGA-PBE) of a relaxed structure of Pm4MgGa3.

Results
crystal system = orthorhombic
space group = Pmm2 (25)

Cell: 4.367 4.260 11.635 Å, 90.00 90.00 90.00°
Positions (direct):
Ga 0.000 0.000 0.435
Pm 0.000 0.500 0.847
Pm 0.000 0.000 0.163
Pm 0.500 0.500 0.367
Ga 0.000 0.500 0.573
Ga 0.500 0.000 0.911
Mg 0.500 0.500 0.063
Pm 0.500 0.000 0.641


Energies in meV per atom, measured from the most stable structure: model w 0; model x 40.


Model w:
The following is a DFT calculation (GGA-PBE) of a relaxed structure of Pm2MgGa.

Results
crystal system = tetragonal
space group = P4/mmm (123)

Cell: 3.720 3.720 7.732 Å, 90.00 90.00 90.00°
Positions (direct):
Mg 0.500 0.500 0.500
Pm 0.000 0.000 0.231
Pm 0.000 0.000 0.769
Ga 0.500 0.500 0.000


Model x:
The following is a DFT calculation (GGA-PBE) of a relaxed structure of Pm2MgGa.

Results
crystal system = cubic
space group = Fm-3m (225)

Cell: 5.296 5.296 5.296 Å, 60.00 60.00 60.00°
Positions (direct):
Pm 0.250 0.250 0.250
Ga 0.500 0.500 0.500
Mg 0.000 0.000 0.000
Pm 0.750 0.750 0.750


Energies in meV per atom, measured from the most stable structure: model w 7; model x 0.


Model w:
The following is a DFT calculation (GGA-PBE) of a relaxed structure of PrMg4Ga2.

Results
crystal system = orthorhombic
space group = Cmmm (65)

Cell: 4.405 4.435 8.423 Å, 105.26 90.00 90.00°
Positions (direct):
Mg 0.000 0.680 0.359
Ga 0.500 0.424 0.848
Mg 0.500 0.177 0.355
Pr 0.000 0.000 0.000
Ga 0.500 0.576 0.152
Mg 0.500 0.823 0.645
Mg 0.000 0.320 0.641


Model x:
The following is a DFT calculation (GGA-PBE) of a relaxed structure of PrMg4Ga2.

Results
crystal system = tetragonal
space group = P4_2/mnm (136)

Cell: 4.398 8.491 8.491 Å, 90.00 90.00 90.00°
Positions (direct):
Ga 0.000 0.798 0.202
Ga 0.500 0.702 0.702
Ga 0.500 0.298 0.298
Mg 0.000 0.095 0.336
Pr 0.000 0.500 0.500
Mg 0.000 0.664 0.905
Ga 0.000 0.202 0.798
Pr 0.500 0.000 0.000
Mg 0.000 0.905 0.664
Mg 0.500 0.164 0.595
Mg 0.500 0.836 0.405
Mg 0.500 0.595 0.164
Mg 0.000 0.336 0.095
Mg 0.500 0.405 0.836


Energies in meV per atom, measured from the most stable structure: model w 0; model x 16.